A plane-wave DFT calculation with GGA-PBE was carried out for a relaxed HgPBr4 crystal.

Summary:
- DOS(E_F) (states/eV/f.u.) = 8.39
- theoretical density (g cm⁻³) = 5.13
- SG = No. 216
- E_form (uncorrected) (eV per atom) = 0.91
- energy (eV per cell) = -6.950

Unit cell a=6.317 b=6.317 c=6.317 alpha=60.00 beta=60.00 gamma=60.00
Positions (direct):
Hg 0.000 0.000 0.000
P 0.750 0.750 0.750
Br 0.375 0.375 0.375
Br 0.375 0.375 0.874
Br 0.375 0.874 0.375
Br 0.874 0.375 0.375